# 1
CrRe2Pt | PBE-GGA | relaxed

DOS at the Fermi energy	3.4	states/eV per cell
electronic total energy	-10.14	eV per atom
relative energy among the computed polymorphs	54	meV per atom
space group	No. 47
M_tot	0.076	μB per atom
calculated density	17.83	Mg/m³
formation enthalpy at 0 K	-0.0020	eV per atom

a = 2.712 Å, b = 3.843 Å, c = 5.537 Å
α = 90.00°, β = 90.00°, γ = 90.00°
Sites, in units of the cell vectors:
Cr: 0.000 0.000 0.000
Re: 0.500 0.500 0.223
Re: 0.500 0.500 0.777
Pt: 0.000 0.000 0.500


# 2
CrRe2Pt | PBE-GGA | relaxed

DOS at the Fermi energy	3.3	states/eV per cell
electronic total energy	-10.19	eV per atom
relative energy among the computed polymorphs	10	meV per atom
space group	No. 119
M_tot	0.121	μB per atom
calculated density	17.95	Mg/m³
formation enthalpy at 0 K	-0.0464	eV per atom

a = 4.689 Å, b = 4.689 Å, c = 4.689 Å
α = 131.08°, β = 131.08°, γ = 71.68°
Sites, in units of the cell vectors:
Cr: 0.000 0.000 0.000
Re: 0.250 0.750 0.500
Re: 0.500 0.500 0.000
Pt: 0.750 0.250 0.500


# 3
Cr2RePt | PBE-GGA | relaxed

DOS at the Fermi energy	3.4	states/eV per cell
electronic total energy	-9.45	eV per atom
space group	No. 119
M_tot	0.133	μB per atom
calculated density	14.78	Mg/m³
formation enthalpy at 0 K	-0.0183	eV per atom

a = 4.686 Å, b = 4.686 Å, c = 4.686 Å
α = 132.72°, β = 132.72°, γ = 69.10°
Sites, in units of the cell vectors:
Cr: 0.000 0.000 0.000
Cr: 0.750 0.250 0.500
Re: 0.250 0.750 0.500
Pt: 0.500 0.500 0.000


# 4
CrRePt2 | PBE-GGA | relaxed

DOS at the Fermi energy	4.4	states/eV per cell
electronic total energy	-8.54	eV per atom
relative energy among the computed polymorphs	102	meV per atom
space group	No. 12
M_tot	0.419	μB per atom
calculated density	17.80	Mg/m³
formation enthalpy at 0 K	-0.0056	eV per atom

a = 4.772 Å, b = 4.772 Å, c = 4.708 Å
α = 99.70°, β = 99.70°, γ = 33.75°
Sites, in units of the cell vectors:
Cr: 0.000 0.000 0.000
Re: 0.500 0.500 0.500
Pt: 0.251 0.251 0.750
Pt: 0.749 0.749 0.250


# 5
CrRePt2 | PBE-GGA | relaxed

DOS at the Fermi energy	4.7	states/eV per cell
electronic total energy	-8.64	eV per atom
relative energy among the computed polymorphs	10	meV per atom
space group	No. 139
M_tot	0.363	μB per atom
calculated density	17.93	Mg/m³
formation enthalpy at 0 K	-0.0984	eV per atom

a = 4.825 Å, b = 4.825 Å, c = 4.825 Å
α = 133.44°, β = 133.44°, γ = 67.97°
Sites, in units of the cell vectors:
Cr: 0.000 0.000 0.000
Re: 0.500 0.500 0.000
Pt: 0.250 0.750 0.500
Pt: 0.750 0.250 0.500


# 6
CrRe2Pt | PBE-GGA | relaxed

DOS at the Fermi energy	4.1	states/eV per cell
electronic total energy	-10.13	eV per atom
relative energy among the computed polymorphs	66	meV per atom
space group	No. 99
M_tot	0.099	μB per atom
calculated density	17.85	Mg/m³
formation enthalpy at 0 K	0.0103	eV per atom

a = 2.731 Å, b = 2.731 Å, c = 7.724 Å
α = 90.00°, β = 90.00°, γ = 90.00°
Sites, in units of the cell vectors:
Cr: 0.000 0.000 0.000
Re: 0.000 0.000 0.514
Re: 0.500 0.500 0.765
Pt: 0.500 0.500 0.246


Copy entry 2 word for word.
CrRe2Pt | PBE-GGA | relaxed

DOS at the Fermi energy	3.3	states/eV per cell
electronic total energy	-10.19	eV per atom
relative energy among the computed polymorphs	10	meV per atom
space group	No. 119
M_tot	0.121	μB per atom
calculated density	17.95	Mg/m³
formation enthalpy at 0 K	-0.0464	eV per atom

a = 4.689 Å, b = 4.689 Å, c = 4.689 Å
α = 131.08°, β = 131.08°, γ = 71.68°
Sites, in units of the cell vectors:
Cr: 0.000 0.000 0.000
Re: 0.250 0.750 0.500
Re: 0.500 0.500 0.000
Pt: 0.750 0.250 0.500


Please write out number 2 again, unchanged.
CrRe2Pt | PBE-GGA | relaxed

DOS at the Fermi energy	3.3	states/eV per cell
electronic total energy	-10.19	eV per atom
relative energy among the computed polymorphs	10	meV per atom
space group	No. 119
M_tot	0.121	μB per atom
calculated density	17.95	Mg/m³
formation enthalpy at 0 K	-0.0464	eV per atom

a = 4.689 Å, b = 4.689 Å, c = 4.689 Å
α = 131.08°, β = 131.08°, γ = 71.68°
Sites, in units of the cell vectors:
Cr: 0.000 0.000 0.000
Re: 0.250 0.750 0.500
Re: 0.500 0.500 0.000
Pt: 0.750 0.250 0.500


- What is the M_tot in the sixth record?
  0.099 μB per atom


- Which of these has the lowest calculated density?
  Cr2RePt